## A
Here is crystalline Y3ZnRu at its relaxed geometry from Alexandria via LeMat-Bulk. Energies are from PBE-GGA.

The value obtained for the total magnetization is 0.000 μB/f.u. As for the density of states at the Fermi level: 31.03 states/eV per cell. The volume comes out at 970 Å³ per cell.

The space group is Fmmm (No. 69) and the conventional cell measures 6.3881, 9.5908 and 15.8244 Å, with angles of 90.00, 90.00 and 90.00 degrees. The distinct sites, in fractional coordinates, are Y at (0.0000, 0.0000, 0.1957), Y at (0.0000, 0.1840, 0.3935), Zn at (0.1938, 0.0000, 0.0000) and Ru at (0.2500, 0.2500, 0.2500).


## B
Here is crystalline Y3ZnRu at its relaxed geometry from Alexandria via LeMat-Bulk. Energies are from PBE-GGA.

The value obtained for the total magnetization is 0.000 μB/f.u. As for the density of states at the Fermi level: 2.99 states/eV per cell. The volume comes out at 151 Å³ per cell.

The space group is Pm-3m (No. 221) and the conventional cell measures 5.3251, 5.3251 and 5.3251 Å, with angles of 90.00, 90.00 and 90.00 degrees. The distinct sites, in fractional coordinates, are Y at (0.0000, 0.0000, 0.5000), Zn at (0.5000, 0.5000, 0.5000) and Ru at (0.0000, 0.0000, 0.0000).


Which structure is the most stable? The one labeled A.


## A
Here is crystalline YZr2Ru2 at its relaxed geometry from Alexandria via LeMat-Bulk. Energies are from PBE-GGA.

The value obtained for the total magnetization is 0.000 μB/f.u. As for the density of states at the Fermi level: 7.34 states/eV per cell. The volume comes out at 203 Å³ per cell.

The space group is P4/mbm (No. 127) and the conventional cell measures 7.8647, 7.8647 and 3.2804 Å, with angles of 90.00, 90.00 and 90.00 degrees. The distinct sites, in fractional coordinates, are Y at (0.0000, 0.0000, 0.0000), Zr at (0.1476, 0.3524, 0.5000) and Ru at (0.1441, 0.6441, 0.0000).


## B
Here is crystalline YZr2Ru2 at its relaxed geometry from Alexandria via LeMat-Bulk. Energies are from PBE-GGA.

The value obtained for the total magnetization is 0.000 μB/f.u. As for the density of states at the Fermi level: 8.10 states/eV per cell. The volume comes out at 220 Å³ per cell.

The space group is I4/mmm (No. 139) and the conventional cell measures 4.4877, 4.4877 and 10.9044 Å, with angles of 90.00, 90.00 and 90.00 degrees. The distinct sites, in fractional coordinates, are Y at (0.0000, 0.0000, 0.0000), Zr at (0.0000, 0.0000, 0.3707) and Ru at (0.0000, 0.5000, 0.2500).


Which structure is the most stable? The one labeled A.


## A
Here is crystalline Y3ZrRu at its relaxed geometry from Alexandria via LeMat-Bulk. Energies are from PBE-GGA.

The value obtained for the total magnetization is 1.631 μB/f.u. As for the density of states at the Fermi level: 9.22 states/eV per cell. The volume comes out at 152 Å³ per cell.

The space group is Pm-3m (No. 221) and the conventional cell measures 5.3375, 5.3375 and 5.3375 Å, with angles of 90.00, 90.00 and 90.00 degrees. The distinct sites, in fractional coordinates, are Y at (0.0000, 0.0000, 0.5000), Zr at (0.0000, 0.0000, 0.0000) and Ru at (0.5000, 0.5000, 0.5000).


## B
Here is crystalline Y3ZrRu at its relaxed geometry from Alexandria via LeMat-Bulk. Energies are from PBE-GGA.

The value obtained for the total magnetization is 2.407 μB/f.u. As for the density of states at the Fermi level: 4.83 states/eV per cell. The volume comes out at 150 Å³ per cell.

The space group is Pm-3m (No. 221) and the conventional cell measures 5.3161, 5.3161 and 5.3161 Å, with angles of 90.00, 90.00 and 90.00 degrees. The distinct sites, in fractional coordinates, are Y at (0.0000, 0.0000, 0.5000), Zr at (0.5000, 0.5000, 0.5000) and Ru at (0.0000, 0.0000, 0.0000).


Which structure is the most stable? The one labeled B.


## A
Here is crystalline YZrRu at its relaxed geometry from Alexandria via LeMat-Bulk. Energies are from PBE-GGA.

The value obtained for the total magnetization is 0.000 μB/f.u. As for the density of states at the Fermi level: 13.67 states/eV per cell. The volume comes out at 286 Å³ per cell.

The space group is F-43m (No. 216) and the conventional cell measures 6.5855, 6.5855 and 6.5855 Å, with angles of 90.00, 90.00 and 90.00 degrees. The distinct sites, in fractional coordinates, are Y at (0.0000, 0.0000, 0.0000), Zr at (0.0000, 0.0000, 0.5000) and Ru at (0.2500, 0.2500, 0.2500).


## B
Here is crystalline YZrRu at its relaxed geometry from Alexandria via LeMat-Bulk. Energies are from PBE-GGA.

The value obtained for the total magnetization is 0.000 μB/f.u. As for the density of states at the Fermi level: 3.71 states/eV per cell. The volume comes out at 63 Å³ per cell.

The space group is P3m1 (No. 156) and the conventional cell measures 4.6458, 4.6458 and 3.3753 Å, with angles of 90.00, 90.00 and 120.00 degrees. The distinct sites, in fractional coordinates, are Y at (0.0000, 0.0000, 0.0000), Zr at (0.6667, 0.3333, 0.4267) and Ru at (0.3333, 0.6667, 0.6737).


## C
Here is crystalline YZrRu at its relaxed geometry from Alexandria via LeMat-Bulk. Energies are from PBE-GGA.

The value obtained for the total magnetization is 1.129 μB/f.u. As for the density of states at the Fermi level: 4.33 states/eV per cell. The volume comes out at 131 Å³ per cell.

The space group is I4mm (No. 107) and the conventional cell measures 3.3709, 3.3709 and 11.5479 Å, with angles of 90.00, 90.00 and 90.00 degrees. The distinct sites, in fractional coordinates, are Y at (0.0000, 0.0000, 0.0000), Zr at (0.0000, 0.0000, 0.2845) and Ru at (0.0000, 0.0000, 0.6618).


Which structure is the most stable? The one labeled C.